1.
# CrReTc2 PBE optimized geometry
data_CrReTc2
_symmetry_space_group_name_H-M 'P m m 2'
_symmetry_Int_Tables_number 25
_cell_length_a 2.7255
_cell_length_b 3.8249
_cell_length_c 5.4188
_cell_angle_alpha 90.00
_cell_angle_beta 90.00
_cell_angle_gamma 90.00
loop_
_symmetry_equiv_pos_as_xyz
'x,y,z'
'-x,-y,z'
'-x,y,z'
'x,-y,z'
loop_
_atom_site_label
_atom_site_fract_x
_atom_site_fract_y
_atom_site_fract_z
Cr1 0.0000 0.0000 0.0000
Re1 0.5000 0.5000 0.2428
Tc1 0.0000 0.0000 0.5023
Tc2 0.5000 0.5000 0.7598
# Final energy: -10.568 eV/atom
# DFT formation energy: 133 meV per atom
# Crystal system: orthorhombic
# Fermi-level density of states: 0.998 states/eV per atom

2.
# Rh5Au PBE optimized geometry
data_Rh5Au
_symmetry_space_group_name_H-M 'C 1 m 1'
_symmetry_Int_Tables_number 8
_cell_length_a 10.2126
_cell_length_b 2.7564
_cell_length_c 6.5735
_cell_angle_alpha 90.00
_cell_angle_beta 105.42
_cell_angle_gamma 90.00
loop_
_symmetry_equiv_pos_as_xyz
'x,y,z'
'x,-y,z'
'x+1/2,y+1/2,z'
'x+1/2,-y+1/2,z'
loop_
_atom_site_label
_atom_site_fract_x
_atom_site_fract_y
_atom_site_fract_z
Rh1 0.0000 0.0000 0.0000
Rh2 0.0533 0.0000 0.6245
Rh3 0.2272 0.5000 0.9448
Rh4 0.3398 0.0000 0.6821
Rh5 0.3966 0.0000 0.2789
Au1 0.1730 0.5000 0.3412
# Final energy: -6.534 eV/atom
# DFT formation energy: 138 meV per atom
# Crystal system: monoclinic
# Excess energy over the best structure of this formula in the dataset: 0.42 kcal/mol of atoms
# Fermi-level density of states: 1.780 states/eV per atom

3.
# ScAl2Hg PBE optimized geometry
data_ScAl2Hg
_symmetry_space_group_name_H-M 'I -4 m 2'
_symmetry_Int_Tables_number 119
_symmetry_space_group_name_Hall 'I -4 -2'
_cell_length_a 4.1460
_cell_length_b 4.1460
_cell_length_c 8.8892
_cell_angle_alpha 90.00
_cell_angle_beta 90.00
_cell_angle_gamma 90.00
loop_
_atom_site_label
_atom_site_fract_x
_atom_site_fract_y
_atom_site_fract_z
Sc1 0.0000 0.0000 0.0000
Al1 0.0000 0.0000 0.5000
Al2 0.0000 0.5000 0.7500
Hg1 0.0000 0.5000 0.2500
# Final energy: -3.781 eV/atom
# DFT formation energy: -251 meV per atom
# Crystal system: tetragonal
# Fermi-level density of states: 0.509 states/eV per atom

4.
# La6Ir2BrCl3 PBE optimized geometry
data_La6Ir2BrCl3
_symmetry_space_group_name_H-M 'C 1 2/m 1'
_symmetry_Int_Tables_number 12
_cell_length_a 18.8821
_cell_length_b 4.1936
_cell_length_c 8.8130
_cell_angle_alpha 90.00
_cell_angle_beta 100.36
_cell_angle_gamma 90.00
loop_
_symmetry_equiv_pos_as_xyz
'x,y,z'
'-x,-y,-z'
'-x,y,-z'
'x,-y,z'
'x+1/2,y+1/2,z'
'-x+1/2,-y+1/2,-z'
'-x+1/2,y+1/2,-z'
'x+1/2,-y+1/2,z'
loop_
_atom_site_label
_atom_site_fract_x
_atom_site_fract_y
_atom_site_fract_z
La1 0.0180 0.0000 0.2720
La2 0.1736 0.5000 0.5548
La3 0.1808 0.5000 0.1134
Ir1 0.1706 0.0000 0.3253
Br1 0.0000 0.5000 0.0000
Cl1 0.0000 0.5000 0.5000
Cl2 0.1480 0.0000 0.8238
# Final energy: -5.874 eV/atom
# Crystal system: monoclinic
# Formation energy (no corrections): -1.333 eV/atom
# Fermi-level density of states: 0.826 states/eV per atom

5.
# AcTmZn4 PBE optimized geometry
data_AcTmZn4
_symmetry_space_group_name_H-M 'I m m m'
_symmetry_Int_Tables_number 71
_symmetry_space_group_name_Hall '-I 2 2'
_cell_length_a 4.3721
_cell_length_b 7.8198
_cell_length_c 7.9633
_cell_angle_alpha 90.00
_cell_angle_beta 90.00
_cell_angle_gamma 90.00
loop_
_atom_site_label
_atom_site_fract_x
_atom_site_fract_y
_atom_site_fract_z
Ac1 0.0000 0.0000 0.0000
Tm1 0.0000 0.5000 0.0000
Zn1 0.0000 0.2225 0.3360
# Final energy: -2.576 eV/atom
# DFT formation energy: -297 meV per atom
# Crystal system: orthorhombic
# Excess energy over the best structure of this formula in the dataset: 0.00 kcal/mol of atoms
# Fermi-level density of states: 0.864 states/eV per atom

6.
# SrBeCr2 PBE optimized geometry
data_SrBeCr2
_symmetry_space_group_name_H-M 'I 41/a m d'
_symmetry_Int_Tables_number 141
_cell_length_a 4.2139
_cell_length_b 4.2139
_cell_length_c 17.8631
_cell_angle_alpha 90.00
_cell_angle_beta 90.00
_cell_angle_gamma 90.00
loop_
_symmetry_equiv_pos_as_xyz
'x,y,z'
'-x,-y,-z'
'-y+1/4,x+3/4,z+1/4'
'y+1/4,-x+3/4,-z+1/4'
'-x+1/2,-y,z+1/2'
'x+1/2,y,-z+1/2'
'y+1/4,-x+1/4,z+3/4'
'-y+1/4,x+1/4,-z+3/4'
'x,-y,-z'
'-x,y,z'
'-y+1/4,-x+1/4,-z+3/4'
'y+1/4,x+1/4,z+3/4'
'-x+1/2,y,-z+1/2'
'x+1/2,-y,z+1/2'
'y+1/4,x+3/4,-z+1/4'
'-y+1/4,-x+3/4,z+1/4'
'x+1/2,y+1/2,z+1/2'
'-x+1/2,-y+1/2,-z+1/2'
'-y+3/4,x+1/4,z+3/4'
'y+3/4,-x+1/4,-z+3/4'
'-x,-y+1/2,z'
'x,y+1/2,-z'
'y+3/4,-x+3/4,z+1/4'
'-y+3/4,x+3/4,-z+1/4'
'x+1/2,-y+1/2,-z+1/2'
'-x+1/2,y+1/2,z+1/2'
'-y+3/4,-x+3/4,-z+1/4'
'y+3/4,x+3/4,z+1/4'
'-x,y+1/2,-z'
'x,-y+1/2,z'
'y+3/4,x+1/4,-z+3/4'
'-y+3/4,-x+1/4,z+3/4'
loop_
_atom_site_label
_atom_site_fract_x
_atom_site_fract_y
_atom_site_fract_z
Sr1 0.0000 0.2500 0.3750
Be1 0.0000 0.2500 0.8750
Cr1 0.0000 0.0000 0.0000
# Final energy: -5.097 eV/atom
# DFT formation energy: 1066 meV per atom
# Crystal system: tetragonal
# Fermi-level density of states: 1.058 states/eV per atom

Question: What is the Fermi-level density of states in the sixth record?
Answer: 1.058 states/eV per atom

Question: Look up the final energy of the second one.
Answer: -6.534 eV/atom

Question: Number 5 is which compound?
Answer: AcTmZn4